[1]
## Ac2TbUN4 (GGA-PBE)

Data for an optimized crystal structure of Ac2TbUN4.

The formation energy from raw total energies comes out at -1.3100 eV/atom. For the total magnetic moment, the calculation gives 0.0 μB per formula unit. The calculated total energy is -8.4896 eV/atom.

Cell: 6.1670 3.6212 6.5045 Å, 90.00 108.39 90.00°
Space group P2/m (No. 10)
Unique sites:
Ac 0.0000 0.0000 0.0000
Ac 0.5000 0.5000 0.0000
Tb 0.0000 0.5000 0.5000
U 0.5000 0.0000 0.5000
N 0.2626 0.0000 0.6952
N 0.2880 0.5000 0.3090

---

[2]
## Ac3Tb2UN6 (GGA-PBE)

Data for an optimized crystal structure of Ac3Tb2UN6.

The formation energy from raw total energies comes out at -1.3290 eV/atom. For the total magnetic moment, the calculation gives 0.0 μB per formula unit. The calculated total energy is -8.2312 eV/atom.

Cell: 6.2593 10.8114 6.4978 Å, 90.00 108.66 90.00°
Space group C2/m (No. 12)
Unique sites:
Ac 0.0000 0.0000 0.0000
Ac 0.0000 0.3307 0.0000
Tb 0.0000 0.1663 0.5000
U 0.0000 0.5000 0.5000
N 0.2200 0.3475 0.7023
N 0.2375 0.5000 0.2903

---

[3]
## AcTb2WN4 (GGA-PBE)

Data for an optimized crystal structure of AcTb2WN4.

The formation energy from raw total energies comes out at -1.0876 eV/atom. For the total magnetic moment, the calculation gives 0.0 μB per formula unit. The calculated total energy is -8.5406 eV/atom.

Cell: 3.4988 12.2323 12.1091 Å, 90.00 90.00 90.00°
Space group Cmcm (No. 63)
Unique sites:
Ac 0.0000 0.0807 0.2500
Tb 0.0000 0.3708 0.0396
W 0.0000 0.1777 0.7500
N 0.0000 0.0000 0.0000
N 0.0000 0.2619 0.6173
N 0.0000 0.4161 0.2500

---

[4]
## AcTbZrN3 (GGA-PBE)

Data for an optimized crystal structure of AcTbZrN3.

The formation energy from raw total energies comes out at -1.1856 eV/atom. For the total magnetic moment, the calculation gives 0.0 μB per formula unit. The calculated total energy is -8.2294 eV/atom.

Cell: 6.8816 3.5045 9.9094 Å, 90.00 94.65 90.00°
Space group P2_1/m (No. 11)
Unique sites:
Ac 0.1728 0.2500 0.2201
Tb 0.3570 0.7500 0.8814
Zr 0.1661 0.2500 0.5780
N 0.1474 0.2500 0.7887
N 0.1526 0.7500 0.4536
N 0.3790 0.7500 0.1103

---

[5]
## Ac2TcN4 (GGA-PBE)

Data for an optimized crystal structure of Ac2TcN4.

The formation energy from raw total energies comes out at -0.7675 eV/atom. For the total magnetic moment, the calculation gives 0.0 μB per formula unit. The calculated total energy is -8.1795 eV/atom.

Cell: 6.1816 5.9033 7.3693 Å, 90.00 109.57 90.00°
Space group P2_1/m (No. 11)
Unique sites:
Ac 0.2018 0.2500 0.0385
Ac 0.2854 0.2500 0.5675
Tc 0.2497 0.7500 0.8000
N 0.0490 0.5058 0.7428
N 0.4101 0.7500 0.0618
N 0.4386 0.7500 0.6481

---

[6]
## AcTcN2 (GGA-PBE)

Data for an optimized crystal structure of AcTcN2.

The formation energy from raw total energies comes out at 0.3276 eV/atom. As for the offset from the most stable computed form: 1092 meV/atom. For the total magnetic moment, the calculation gives 1.2 μB per formula unit. The calculated total energy is -7.4537 eV/atom.

Cell: 3.4192 3.4192 19.3693 Å, 90.00 90.00 120.00°
Space group R-3m (No. 166, hexagonal axes)
Unique sites:
Ac 0.0000 0.0000 0.0000
Tc 0.0000 0.0000 0.5000
N 0.0000 0.0000 0.1245

---

- Among the records above, which one has the lowest formation energy from raw total energies?
  Ac3Tb2UN6

---

Copy entry 6 word for word.
## AcTcN2 (GGA-PBE)

Data for an optimized crystal structure of AcTcN2.

The formation energy from raw total energies comes out at 0.3276 eV/atom. As for the offset from the most stable computed form: 1092 meV/atom. For the total magnetic moment, the calculation gives 1.2 μB per formula unit. The calculated total energy is -7.4537 eV/atom.

Cell: 3.4192 3.4192 19.3693 Å, 90.00 90.00 120.00°
Space group R-3m (No. 166, hexagonal axes)
Unique sites:
Ac 0.0000 0.0000 0.0000
Tc 0.0000 0.0000 0.5000
N 0.0000 0.0000 0.1245